# Pm2GaAu

Pm2GaAu after structural relaxation (PBE, Alexandria).

Its density of states at the Fermi level is 3.224 states/eV per cell. For the total magnetization, the calculation gives 0.0 μB per formula unit. The calculation puts the formation energy at -0.67 eV/atom.

It has space group P4/mmm (No. 123), with a = 3.639 Å, b = 3.639 Å, c = 7.558 Å, α = 90.00°, β = 90.00° and γ = 90.00°. The distinct sites, in fractional coordinates, are Pm at (0.000, 0.000, 0.249), Ga at (0.500, 0.500, 0.000) and Au at (0.500, 0.500, 0.500).